a | # Co2Pt3 GGA-PBE optimized geometry
data_Co2Pt3
_cell_length_a 8.016
_cell_length_b 6.975
_cell_length_c 5.167
_cell_angle_alpha 81.16
_cell_angle_beta 59.28
_cell_angle_gamma 39.56
_symmetry_space_group_name_H-M 'P 1'
_symmetry_Int_Tables_number 1
_symmetry_space_group_name_Hall 'P 1'
loop_
_atom_site_label
_atom_site_fract_x
_atom_site_fract_y
_atom_site_fract_z
Pt1 0.343 0.450 0.732
Pt2 0.166 0.334 0.334
Pt3 0.800 0.907 0.774
Pt4 0.476 0.732 0.450
Pt5 0.518 0.774 0.907
Pt6 0.916 0.084 0.084
Co1 0.359 0.551 0.184
Co2 0.907 0.184 0.551
Co3 0.699 0.891 0.343
Co4 0.066 0.343 0.891
# space-group type: Fdd2 (43)



b | # Co2Pt3 GGA-PBE optimized geometry
data_Co2Pt3
_cell_length_a 2.713
_cell_length_b 2.713
_cell_length_c 9.676
_cell_angle_alpha 98.06
_cell_angle_beta 98.06
_cell_angle_gamma 90.00
_symmetry_space_group_name_H-M 'P 1'
_symmetry_Int_Tables_number 1
_symmetry_space_group_name_Hall 'P 1'
loop_
_atom_site_label
_atom_site_fract_x
_atom_site_fract_y
_atom_site_fract_z
Co1 0.098 0.098 0.197
Co2 0.902 0.902 0.803
Pt1 0.500 0.500 0.000
Pt2 0.693 0.693 0.386
Pt3 0.307 0.307 0.614
# space-group type: I4/mmm (139)



b ends up most stable, edging out the next structure by 10.8 kJ/mol of atoms.